Entry from the Alexandria database: KHg5 after structural relaxation (GGA-PBE).

Values from the calculation:
Energy relative to the lowest polymorph listed for this composition, meV/atom: 30
Crystal system: cubic

The structure in CIF format:
```
data_KHg5
_chemical_formula_sum 'K4 Hg20'
_cell_length_a 9.015
_cell_length_b 9.015
_cell_length_c 9.015
_cell_angle_alpha 90.00
_cell_angle_beta 90.00
_cell_angle_gamma 90.00
_space_group_name_H-M_alt 'F -4 3 m'
_space_group_IT_number 216
_space_group_name_Hall 'F -4 2 3'
loop_
_atom_site_label
_atom_site_type_symbol
_atom_site_fract_x
_atom_site_fract_y
_atom_site_fract_z
_atom_site_occupancy
K1 K 0.000 0.000 0.000 1
Hg1 Hg 0.125 0.125 0.625 1
Hg2 Hg 0.250 0.250 0.250 1
```

---

Entry from the Alexandria database: K5Hg after structural relaxation (GGA-PBE).

Values from the calculation:
Energy relative to the lowest polymorph listed for this composition, meV/atom: 11
Crystal system: orthorhombic

The structure in CIF format:
```
data_K5Hg
_chemical_formula_sum 'K10 Hg2'
_cell_length_a 6.995
_cell_length_b 21.886
_cell_length_c 4.668
_cell_angle_alpha 90.00
_cell_angle_beta 90.00
_cell_angle_gamma 90.00
_space_group_name_H-M_alt 'C m m m'
_space_group_IT_number 65
_space_group_name_Hall '-C 2 2'
loop_
_atom_site_label
_atom_site_type_symbol
_atom_site_fract_x
_atom_site_fract_y
_atom_site_fract_z
_atom_site_occupancy
K1 K 0.000 0.000 0.000 1
K2 K 0.000 0.186 0.500 1
K3 K 0.000 0.376 0.000 1
Hg1 Hg 0.000 0.500 0.500 1
```

---

Entry from the Alexandria database: K5Hg after structural relaxation (GGA-PBE).

Values from the calculation:
Energy relative to the lowest polymorph listed for this composition, meV/atom: 0
Crystal system: monoclinic

The structure in CIF format:
```
data_K5Hg
_chemical_formula_sum 'K10 Hg2'
_cell_length_a 15.393
_cell_length_b 4.515
_cell_length_c 11.094
_cell_angle_alpha 90.00
_cell_angle_beta 113.41
_cell_angle_gamma 90.00
_space_group_name_H-M_alt 'C 1 m 1'
_space_group_IT_number 8
loop_
_space_group_symop_operation_xyz
'x,y,z'
'x,-y,z'
'x+1/2,y+1/2,z'
'x+1/2,-y+1/2,z'
loop_
_atom_site_label
_atom_site_type_symbol
_atom_site_fract_x
_atom_site_fract_y
_atom_site_fract_z
_atom_site_occupancy
K1 K 0.000 0.000 0.000 1
K2 K 0.040 0.000 0.409 1
K3 K 0.202 0.500 0.842 1
K4 K 0.244 0.500 0.253 1
K5 K 0.371 0.000 0.627 1
Hg1 Hg 0.371 0.000 0.125 1
```

---

Entry from the Alexandria database: K3Hg2 after structural relaxation (GGA-PBE).

Values from the calculation:
Energy relative to the lowest polymorph listed for this composition, meV/atom: 22
Crystal system: trigonal

The structure in CIF format:
```
data_K3Hg2
_chemical_formula_sum 'K3 Hg2'
_cell_length_a 5.9287
_cell_length_b 5.9287
_cell_length_c 7.3567
_cell_angle_alpha 90.00
_cell_angle_beta 90.00
_cell_angle_gamma 120.00
_space_group_name_H-M_alt 'P -3 m 1'
_space_group_IT_number 164
_space_group_name_Hall '-P 3 2"'
loop_
_atom_site_label
_atom_site_type_symbol
_atom_site_fract_x
_atom_site_fract_y
_atom_site_fract_z
_atom_site_occupancy
K1 K 0.0000 0.0000 0.0000 1
K2 K 0.3333 0.6667 0.3456 1
Hg1 Hg 0.3333 0.6667 0.8576 1
```

---

Entry from the Alexandria database: K12Hg after structural relaxation (GGA-PBE).

Values from the calculation:
Crystal system: cubic

The structure in CIF format:
```
data_K12Hg
_chemical_formula_sum 'K24 Hg2'
_cell_length_a 11.941
_cell_length_b 11.941
_cell_length_c 11.941
_cell_angle_alpha 90.00
_cell_angle_beta 90.00
_cell_angle_gamma 90.00
_space_group_name_H-M_alt 'I m -3'
_space_group_IT_number 204
_space_group_name_Hall '-I 2 2 3'
loop_
_atom_site_label
_atom_site_type_symbol
_atom_site_fract_x
_atom_site_fract_y
_atom_site_fract_z
_atom_site_occupancy
K1 K 0.000 0.174 0.305 1
Hg1 Hg 0.000 0.000 0.000 1
```

---

Entry from the Alexandria database: KHg2 after structural relaxation (GGA-PBE).

Values from the calculation:
Crystal system: orthorhombic

The structure in CIF format:
```
data_KHg2
_chemical_formula_sum 'K4 Hg8'
_cell_length_a 7.114
_cell_length_b 5.613
_cell_length_c 10.071
_cell_angle_alpha 90.00
_cell_angle_beta 90.00
_cell_angle_gamma 90.00
_space_group_name_H-M_alt 'P n m a'
_space_group_IT_number 62
loop_
_space_group_symop_operation_xyz
'x,y,z'
'-x,-y,-z'
'-x+1/2,-y,z+1/2'
'x+1/2,y,-z+1/2'
'x+1/2,-y+1/2,-z+1/2'
'-x+1/2,y+1/2,z+1/2'
'-x,y+1/2,-z'
'x,-y+1/2,z'
loop_
_atom_site_label
_atom_site_type_symbol
_atom_site_fract_x
_atom_site_fract_y
_atom_site_fract_z
_atom_site_occupancy
K1 K 0.172 0.250 0.083 1
Hg1 Hg 0.001 0.750 0.290 1
Hg2 Hg 0.163 0.250 0.419 1
```

---

Entry from the Alexandria database: KHg2 after structural relaxation (GGA-PBE).

Values from the calculation:
Crystal system: hexagonal

The structure in CIF format:
```
data_KHg2
_chemical_formula_sum 'K2 Hg4'
_cell_length_a 5.8304
_cell_length_b 5.8304
_cell_length_c 6.8158
_cell_angle_alpha 90.00
_cell_angle_beta 90.00
_cell_angle_gamma 120.00
_space_group_name_H-M_alt 'P 63/m m c'
_space_group_IT_number 194
_space_group_name_Hall '-P 6c 2c'
loop_
_atom_site_label
_atom_site_type_symbol
_atom_site_fract_x
_atom_site_fract_y
_atom_site_fract_z
_atom_site_occupancy
K1 K 0.3333 0.6667 0.2500 1
Hg1 Hg 0.0000 0.0000 0.0000 1
Hg2 Hg 0.3333 0.6667 0.7500 1
```

---

Entry from the Alexandria database: KHg after structural relaxation (GGA-PBE).

Values from the calculation:
Crystal system: monoclinic

The structure in CIF format:
```
data_KHg
_chemical_formula_sum 'K4 Hg4'
_cell_length_a 12.793
_cell_length_b 4.536
_cell_length_c 5.784
_cell_angle_alpha 90.00
_cell_angle_beta 116.74
_cell_angle_gamma 90.00
_space_group_name_H-M_alt 'C 1 2/m 1'
_space_group_IT_number 12
loop_
_space_group_symop_operation_xyz
'x,y,z'
'-x,-y,-z'
'-x,y,-z'
'x,-y,z'
'x+1/2,y+1/2,z'
'-x+1/2,-y+1/2,-z'
'-x+1/2,y+1/2,-z'
'x+1/2,-y+1/2,z'
loop_
_atom_site_label
_atom_site_type_symbol
_atom_site_fract_x
_atom_site_fract_y
_atom_site_fract_z
_atom_site_occupancy
K1 K 0.105 0.000 0.354 1
Hg1 Hg 0.162 0.500 0.911 1
```

---

Entry from the Alexandria database: KHg5 after structural relaxation (GGA-PBE).

Values from the calculation:
Energy relative to the lowest polymorph listed for this composition, meV/atom: 0
Crystal system: monoclinic

The structure in CIF format:
```
data_KHg5
_chemical_formula_sum 'K2 Hg10'
_cell_length_a 9.512
_cell_length_b 5.486
_cell_length_c 6.718
_cell_angle_alpha 90.00
_cell_angle_beta 90.39
_cell_angle_gamma 90.00
_space_group_name_H-M_alt 'C 1 2/m 1'
_space_group_IT_number 12
loop_
_space_group_symop_operation_xyz
'x,y,z'
'-x,-y,-z'
'-x,y,-z'
'x,-y,z'
'x+1/2,y+1/2,z'
'-x+1/2,-y+1/2,-z'
'-x+1/2,y+1/2,-z'
'x+1/2,-y+1/2,z'
loop_
_atom_site_label
_atom_site_type_symbol
_atom_site_fract_x
_atom_site_fract_y
_atom_site_fract_z
_atom_site_occupancy
K1 K 0.000 0.000 0.000 1
Hg1 Hg 0.000 0.000 0.500 1
Hg2 Hg 0.166 0.500 0.741 1
Hg3 Hg 0.167 0.500 0.266 1
```

---

Entry from the Alexandria database: KHg4 after structural relaxation (GGA-PBE).

Values from the calculation:
Energy relative to the lowest polymorph listed for this composition, meV/atom: 0
Crystal system: tetragonal

The structure in CIF format:
```
data_KHg4
_chemical_formula_sum 'K2 Hg8'
_cell_length_a 4.987
_cell_length_b 4.987
_cell_length_c 12.859
_cell_angle_alpha 90.00
_cell_angle_beta 90.00
_cell_angle_gamma 90.00
_space_group_name_H-M_alt 'I 4/m m m'
_space_group_IT_number 139
_space_group_name_Hall '-I 4 2'
loop_
_atom_site_label
_atom_site_type_symbol
_atom_site_fract_x
_atom_site_fract_y
_atom_site_fract_z
_atom_site_occupancy
K1 K 0.000 0.000 0.000 1
Hg1 Hg 0.000 0.000 0.386 1
Hg2 Hg 0.000 0.500 0.250 1
```

---

Entry from the Alexandria database: KHg2 after structural relaxation (GGA-PBE).

Values from the calculation:
Crystal system: tetragonal

The structure in CIF format:
```
data_KHg2
_chemical_formula_sum 'K2 Hg4'
_cell_length_a 4.142
_cell_length_b 4.142
_cell_length_c 11.309
_cell_angle_alpha 90.00
_cell_angle_beta 90.00
_cell_angle_gamma 90.00
_space_group_name_H-M_alt 'I 4/m m m'
_space_group_IT_number 139
_space_group_name_Hall '-I 4 2'
loop_
_atom_site_label
_atom_site_type_symbol
_atom_site_fract_x
_atom_site_fract_y
_atom_site_fract_z
_atom_site_occupancy
K1 K 0.000 0.000 0.000 1
Hg1 Hg 0.000 0.000 0.313 1
```

---

Entry from the Alexandria database: KHg after structural relaxation (GGA-PBE).

Values from the calculation:
Crystal system: tetragonal

The structure in CIF format:
```
data_KHg
_chemical_formula_sum 'K8 Hg8'
_cell_length_a 12.824
_cell_length_b 12.824
_cell_length_c 4.278
_cell_angle_alpha 90.00
_cell_angle_beta 90.00
_cell_angle_gamma 90.00
_space_group_name_H-M_alt 'I 4/m'
_space_group_IT_number 87
_space_group_name_Hall '-I 4'
loop_
_atom_site_label
_atom_site_type_symbol
_atom_site_fract_x
_atom_site_fract_y
_atom_site_fract_z
_atom_site_occupancy
K1 K 0.141 0.655 0.000 1
Hg1 Hg 0.066 0.153 0.000 1
```

---

Number 1: VASP energy -0.577 eV per atom. Number 2: VASP energy -1.027 eV per atom. Number 3: VASP energy -1.037 eV per atom. Number 4: VASP energy -0.955 eV per atom. Number 5: VASP energy -1.042 eV per atom. Number 6: VASP energy -0.791 eV per atom. Number 7: VASP energy -0.768 eV per atom. Number 8: VASP energy -0.920 eV per atom. Number 9: VASP energy -0.607 eV per atom. Number 10: VASP energy -0.636 eV per atom. Number 11: VASP energy -0.795 eV per atom. Number 12: VASP energy -0.836 eV per atom.